Computed, not measured: a relaxed CaNd2Os crystal at the GGA-PBE level of DFT.

The structure belongs to space group R-3m (No. 166, hexagonal axes); the cell edges are 4.0584, 4.0584 and 32.5642 Å and the angles 90.00°, 90.00° and 120.00°. Symmetry generates all atoms from Ca at (0.0000, 0.0000, 0.0000), Nd at (0.0000, 0.0000, 0.1188) and Os at (0.0000, 0.0000, 0.5000).

For the energy relative to the lowest polymorph listed for this composition, the calculation gives 0.98 eV per formula unit. Its calculated formation energy is 217 meV per atom. For the density of states at the Fermi level, the calculation gives 2.46 states/eV/f.u. Its total moment is 0.00 μB per atom.